(1)
Y7C3I6O, PBEsol geometry, DFT meta-GGA SCAN; E_tot = -28.03 eV per atom; raw formation energy = -24.7 eV per formula unit; symmetry = Pmma (51)
1.0
22.2084 0.0000 0.0000
0.0000 3.8017 0.0000
0.0000 0.0000 11.2603
Y C I O
14 6 12 2
direct
0.0292 0.0000 0.1394
0.1066 0.5000 0.9393
0.1644 0.5000 0.2089
0.2500 0.0000 0.0217
0.3356 0.5000 0.2089
0.3934 0.5000 0.9393
0.4708 0.0000 0.1394
0.5292 0.0000 0.8606
0.6066 0.5000 0.0607
0.6644 0.5000 0.7911
0.7500 0.0000 0.9783
0.8356 0.5000 0.7911
0.8934 0.5000 0.0607
0.9708 0.0000 0.8606
0.0000 0.5000 0.0000
0.1368 0.0000 0.0804
0.3632 0.0000 0.0804
0.5000 0.5000 0.0000
0.6368 0.0000 0.9196
0.8632 0.0000 0.9196
0.0546 0.5000 0.3607
0.0946 0.0000 0.7271
0.2500 0.0000 0.3766
0.2500 0.5000 0.8104
0.4054 0.0000 0.7271
0.4454 0.5000 0.3607
0.5546 0.5000 0.6393
0.5946 0.0000 0.2729
0.7500 0.0000 0.6234
0.7500 0.5000 0.1896
0.9054 0.0000 0.2729
0.9454 0.5000 0.6393
0.2500 0.5000 0.1189
0.7500 0.5000 0.8811

(2)
V3Si3O10, PBEsol geometry, DFT meta-GGA SCAN; E_tot = -11.79 eV per atom; raw formation energy = -43.7 eV per formula unit; symmetry = C2/c (15)
1.0
7.4037 -2.3773 0.0000
7.4037 2.3773 0.0000
-0.4979 0.0000 10.2459
V Si O
6 6 20
direct
0.0000 0.5000 0.0000
0.0859 0.6055 0.7311
0.3945 0.9141 0.7689
0.5000 0.0000 0.5000
0.6055 0.0859 0.2311
0.9141 0.3945 0.2689
0.1587 0.5428 0.4160
0.2026 0.7974 0.2500
0.4572 0.8413 0.0840
0.5428 0.1587 0.9160
0.7974 0.2026 0.7500
0.8413 0.4572 0.5840
0.0544 0.0859 0.8375
0.0859 0.0544 0.3375
0.1272 0.1872 0.0967
0.1872 0.1272 0.5967
0.2444 0.2864 0.3342
0.2864 0.2444 0.8342
0.2859 0.3949 0.5599
0.3664 0.5091 0.3359
0.3949 0.2859 0.0599
0.4909 0.6336 0.1641
0.5091 0.3664 0.8359
0.6051 0.7141 0.9401
0.6336 0.4909 0.6641
0.7141 0.6051 0.4401
0.7136 0.7556 0.1658
0.7556 0.7136 0.6659
0.8128 0.8728 0.4033
0.8728 0.8128 0.9033
0.9141 0.9456 0.6625
0.9456 0.9141 0.1625

(3)
Ca2GeH2, PBEsol geometry, DFT meta-GGA SCAN; E_tot = -9.66 eV per atom; symmetry = I4/mmm (139)
1.0
-1.7516 1.7516 6.8213
1.7516 -1.7516 6.8213
1.7516 1.7516 -6.8213
Ca Ge H
2 1 2
direct
0.1519 0.1519 0.0000
0.8481 0.8481 0.0000
0.5000 0.5000 0.0000
0.2500 0.7500 0.5000
0.7500 0.2500 0.5000

(4)
Zn2HAu, PBEsol geometry, DFT meta-GGA SCAN; E_tot = -24.69 eV per atom; symmetry = I-42d (122)
1.0
-2.3277 2.3277 5.2715
2.3277 -2.3277 5.2715
2.3277 2.3277 -5.2715
Zn H Au
4 2 2
direct
0.3750 0.2243 0.3493
0.7757 0.1250 0.1507
0.8750 0.0257 0.6507
0.9743 0.6250 0.8493
0.0000 0.0000 0.0000
0.7500 0.2500 0.5000
0.2500 0.7500 0.5000
0.5000 0.5000 0.0000

(5)
TaTcHg2, PBEsol geometry, DFT meta-GGA SCAN; E_tot = -59.04 eV per atom; energy relative to the elements = 0.451 eV/atom; symmetry = P4/mmm (123)
1.0
3.9794 0.0000 0.0000
0.0000 3.9794 0.0000
0.0000 0.0000 4.3876
Ta Tc Hg
1 1 2
direct
0.0000 0.0000 0.0000
0.5000 0.5000 0.0000
0.0000 0.5000 0.5000
0.5000 0.0000 0.5000

(6)
BeSb2Ru, PBEsol geometry, DFT meta-GGA SCAN; E_tot = -27.86 eV per atom; raw formation energy = 2.3 eV per formula unit; symmetry = I-4m2 (119)
1.0
-1.9826 1.9826 4.4502
1.9826 -1.9826 4.4502
1.9826 1.9826 -4.4502
Be Sb Ru
1 2 1
direct
0.0000 0.0000 0.0000
0.2500 0.7500 0.5000
0.5000 0.5000 0.0000
0.7500 0.2500 0.5000

(7)
CsAgS3, PBEsol geometry, DFT meta-GGA SCAN; E_tot = -19.56 eV per atom; raw formation energy = 0.3 eV per formula unit; symmetry = Pm-3m (221)
1.0
4.9316 0.0000 0.0000
0.0000 4.9316 0.0000
0.0000 0.0000 4.9316
Cs Ag S
1 1 3
direct
0.0000 0.0000 0.0000
0.5000 0.5000 0.5000
0.0000 0.5000 0.5000
0.5000 0.0000 0.5000
0.5000 0.5000 0.0000

(8)
Al2FeTc, PBEsol geometry, DFT meta-GGA SCAN; E_tot = -17.53 eV per atom; energy relative to the elements = -0.352 eV/atom; symmetry = Fm-3m (225)
1.0
0.0000 2.9525 2.9525
2.9525 0.0000 2.9525
2.9525 2.9525 0.0000
Al Fe Tc
2 1 1
direct
0.2500 0.2500 0.2500
0.7500 0.7500 0.7500
0.0000 0.0000 0.0000
0.5000 0.5000 0.5000

(9)
Cd2InTe, PBEsol geometry, DFT meta-GGA SCAN; E_tot = -32.77 eV per atom; raw formation energy = 0.4 eV per formula unit; symmetry = I-4m2 (119)
1.0
-2.4684 2.4684 4.1709
2.4684 -2.4684 4.1709
2.4684 2.4684 -4.1709
Cd In Te
2 1 1
direct
0.0000 0.0000 0.0000
0.7500 0.2500 0.5000
0.5000 0.5000 0.0000
0.2500 0.7500 0.5000

(10)
Ba4SrP, PBEsol geometry, DFT meta-GGA SCAN; E_tot = -31.42 eV per atom; energy relative to the elements = 0.389 eV/atom; symmetry = F-43m (216)
1.0
0.0000 5.1231 5.1231
5.1231 0.0000 5.1231
5.1231 5.1231 0.0000
Ba Sr P
4 1 1
direct
0.1224 0.1224 0.1224
0.1224 0.1224 0.6328
0.1224 0.6328 0.1224
0.6328 0.1224 0.1224
0.5000 0.5000 0.5000
0.7500 0.7500 0.7500

(11)
TlSb2Au2, PBEsol geometry, DFT meta-GGA SCAN; E_tot = -57.06 eV per atom; raw formation energy = -0.1 eV per formula unit; symmetry = I4/mmm (139)
1.0
-2.4425 2.4425 5.3223
2.4425 -2.4425 5.3223
2.4425 2.4425 -5.3223
Tl Sb Au
1 2 2
direct
0.0000 0.0000 0.0000
0.2500 0.7500 0.5000
0.7500 0.2500 0.5000
0.3726 0.3726 0.0000
0.6274 0.6274 0.0000

(12)
MgTi2MnO6, PBEsol geometry, DFT meta-GGA SCAN; E_tot = -12.32 eV per atom; raw formation energy = -30.6 eV per formula unit; symmetry = R3 (146)
1.0
2.5382 1.4654 4.6459
-2.5382 1.4654 4.6459
0.0000 -2.9309 4.6459
Mg Ti Mn O
1 2 1 6
direct
0.0000 0.0000 0.0000
0.4985 0.4985 0.4985
0.7899 0.7899 0.7899
0.2872 0.2872 0.2872
0.0836 0.6952 0.4178
0.2065 0.5990 0.8691
0.4178 0.0836 0.6952
0.5990 0.8691 0.2065
0.6952 0.4178 0.0836
0.8691 0.2065 0.5990

no.,magnetic moment (μB/f.u.)
1,0.0
2,7.0
3,0.0
4,0.0
5,0.0
6,0.0
7,0.0
8,2.2
9,0.0
10,2.2
11,0.0
12,5.0